Nd6ZnGa, relaxed, DFT PBE-GGA; magnetization = 0.000 μB/f.u.; calculated formation energy = -0.206 eV/atom; calculated total energy = -34.6 eV per formula unit; theoretical density = 6.88 Mg/m³; DOS at the Fermi energy = 1.057 states/eV per atom
1.0
-6.5670 -2.3197 6.6749
-6.8664 4.7907 4.7920
4.3003 -2.0409 -8.3907
Nd Zn Ga
6 1 1
Cartesian
-2.5189 -1.9254 0.3249
-6.4645 -1.1997 3.6929
-6.6142 2.3555 2.7514
-2.6686 1.6297 -0.6166
-3.3732 0.6205 2.8794
-10.0602 1.8505 8.5875
0.0000 0.0000 0.0000
-6.7167 1.2355 5.7335

Zr4MoOs2, relaxed, DFT PBE-GGA; magnetization = 0.000 μB/f.u.; calculated formation energy = -0.178 eV/atom; calculated total energy = -68.7 eV per formula unit; theoretical density = 9.96 Mg/m³; DOS at the Fermi energy = 0.956 states/eV per atom
1.0
5.3552 0.0347 -1.8633
-2.6592 4.6155 -1.9434
0.0200 -0.0347 5.6701
Mo Zr Os
1 4 2
Cartesian
0.0000 0.0000 0.0000
-1.3296 2.3077 -0.9717
2.6776 0.0174 -0.9317
1.3580 2.3077 0.9317
0.0100 -0.0174 2.8350
1.3480 2.3251 -1.9034
2.6876 0.0000 1.9034

La6TbEr8, relaxed, DFT PBE-GGA; magnetization = 0.000 μB/f.u.; calculated formation energy = 0.117 eV/atom; calculated total energy = -68.9 eV per formula unit; theoretical density = 7.67 Mg/m³; DOS at the Fermi energy = 1.543 states/eV per atom
1.0
-4.9066 7.1342 2.6895
-8.9129 -0.8966 1.4006
-3.3717 0.3770 8.1313
Er La Tb
8 6 1
Cartesian
-8.7854 0.2853 4.7679
-5.7579 1.6296 5.7884
-8.4058 6.3293 7.4535
-8.8799 3.6992 4.5525
-5.8762 5.0763 5.4422
-8.3113 2.9154 7.6689
-11.4333 4.9851 6.4331
-11.3149 1.5383 6.7793
-3.0012 0.4954 1.7200
-6.3833 1.2368 2.5235
-3.9119 3.7844 2.7134
-10.8078 5.3778 9.6979
-14.1899 6.1193 10.5015
-13.2792 2.8302 9.5081
0.0000 0.0000 0.0000

Er2ThTl4, relaxed, DFT PBE-GGA; magnetization = 0.000 μB/f.u.; calculated formation energy = -0.134 eV/atom; calculated total energy = -26.9 eV per formula unit; theoretical density = 10.87 Mg/m³; DOS at the Fermi energy = 0.752 states/eV per atom; relative energy among the computed polymorphs = 0 meV per atom
1.0
-3.7832 3.4635 -1.1483
-4.8149 -0.6011 2.0206
-0.5359 5.8204 7.2907
Tl Th Er
4 1 2
Cartesian
-7.6865 4.7662 3.6108
-5.3845 2.6342 1.6257
-1.4475 3.9166 4.5522
-3.7495 6.0486 6.5373
0.0000 0.0000 0.0000
-2.2656 2.2081 2.0946
-6.8684 6.4746 6.0684

LiLuTlRu, relaxed, DFT PBE-GGA; magnetization = 0.000 μB/f.u.; calculated formation energy = -0.152 eV/atom; calculated total energy = -18.7 eV per formula unit; theoretical density = 10.79 Mg/m³; DOS at the Fermi energy = 0.374 states/eV per atom
1.0
4.7339 0.0000 0.0000
2.3669 4.0997 0.0000
2.3669 1.3666 3.8652
Lu Li Tl Ru
1 1 1 1
Cartesian
4.7339 2.7331 1.9326
2.3669 1.3666 0.9663
0.0000 0.0000 0.0000
7.1008 4.0997 2.8989

CaTePd2, relaxed, DFT PBE-GGA; formation energy without anion corrections = -0.657 eV/atom; magnetization = 0.000 μB/f.u.; calculated total energy = -18.2 eV per formula unit; theoretical density = 7.83 Mg/m³; DOS at the Fermi energy = 0.305 states/eV per atom
1.0
4.0845 0.0000 0.0000
0.0000 4.4440 0.0000
0.0000 0.0000 4.4440
Pd Ca Te
2 1 1
Cartesian
0.0000 2.2220 0.0000
0.0000 0.0000 2.2220
2.0423 0.0000 0.0000
2.0423 2.2220 2.2220

Mo3AsPt, relaxed, DFT PBE-GGA; magnetization = 1.549 μB/f.u.; calculated formation energy = 1.749 eV/atom; calculated total energy = -34.4 eV per formula unit; theoretical density = 8.36 Mg/m³; DOS at the Fermi energy = 1.307 states/eV per atom; relative energy among the computed polymorphs = 590 meV per atom
1.0
4.8025 0.0000 0.0000
0.0000 4.8025 0.0000
0.0000 0.0000 4.8025
As Mo Pt
1 3 1
Cartesian
2.4012 2.4012 2.4012
0.0000 2.4012 0.0000
2.4012 0.0000 0.0000
0.0000 0.0000 2.4012
0.0000 0.0000 0.0000

PaTiMn, relaxed, DFT PBE-GGA; magnetization = 0.018 μB/f.u.; calculated formation energy = 0.405 eV/atom; calculated total energy = -25.3 eV per formula unit; theoretical density = 9.67 Mg/m³; DOS at the Fermi energy = 1.735 states/eV per atom
1.0
3.2012 0.0000 0.0000
0.0000 6.0395 0.0000
0.0000 0.0000 5.9311
Ti Pa Mn
2 2 2
Cartesian
0.0000 5.7184 1.4828
0.0000 0.3212 4.4483
0.0000 3.0198 0.0000
0.0000 3.0198 2.9656
1.6006 1.6129 1.4828
1.6006 4.4267 4.4483